Computed, not measured: crystalline Rb3Np3SbS8 at its relaxed geometry at the PBE-GGA level of DFT.

Summary:
E_form (uncorrected)	-1.177	eV/atom
VASP energy	-193.06	eV per cell

Cell lengths 14.245, 8.211, 9.071 Å; angles 90.00, 121.45, 90.00 degrees
Space group C2/m (No. 12)
Inequivalent atoms, fractional coordinates:
1 Rb 0.000 0.000 0.000 x2
2 Rb 0.250 0.250 0.000 x4
3 Np 0.000 0.500 0.500 x2
4 Np 0.250 0.250 0.500 x4
5 Sb 0.000 0.000 0.500 x2
6 S 0.021 0.252 0.313 x8
7 S 0.229 0.000 0.685 x4
8 S 0.231 0.500 0.690 x4